(1)
First-principles (PBE) data for a geometry-optimized LaHg2AsOs structure, as listed in the Alexandria database.

Properties
volume: 144 Å³/cell
energy relative to the elements: 0.3484 eV/atom
spin magnetization: 1.37 μB per formula unit
space group: P4/mmm
calculated total energy: -19.67 eV for the cell shown

abc: 5.2461 5.2461 5.2469
angles: 90.00 90.00 90.00
Closest atoms and distances in Å follow each position.
Sites, in units of the cell vectors:
1 La 0.0000 0.0000 0.0000  2 Os 2.62
2 Hg 0.0000 0.5000 0.5000  2 Os 2.62
3 Hg 0.5000 0.0000 0.5000  2 Os 2.62
4 As 0.5000 0.5000 0.0000  4 La 3.71, 8 Hg 3.71
5 Os 0.0000 0.0000 0.5000  4 Hg 2.62, 2 La 2.62

***

(2)
First-principles (PBE) data for a geometry-optimized EuHoGa2 structure, as listed in the Alexandria database.

Properties
volume: 98 Å³/cell
energy relative to the elements: -0.5300 eV/atom
spin magnetization: 7.18 μB per formula unit
space group: P4/mmm
calculated total energy: -23.03 eV for the cell shown

abc: 3.6657 3.6657 7.2696
angles: 90.00 90.00 90.00
Closest atoms and distances in Å follow each position.
Sites, in units of the cell vectors:
1 Eu 0.0000 0.0000 0.0000  8 Ga 3.27, 2 Ho 3.63, 4 Eu 3.67
2 Ho 0.0000 0.0000 0.5000  8 Ga 3.06
3 Ga 0.5000 0.5000 0.2752  4 Ho 3.06, 1 Ga 3.27, 4 Eu 3.27
4 Ga 0.5000 0.5000 0.7248  4 Ho 3.06, 1 Ga 3.27, 4 Eu 3.27

***

(3)
First-principles (PBE) data for a geometry-optimized Rb2CuMoBr6 structure, as listed in the Alexandria database.

Properties
volume: 302 Å³/cell
spin magnetization: 3.00 μB per formula unit
space group: Fm-3m
calculated total energy: -36.01 eV for the cell shown

abc: 7.5285 7.5285 7.5285
angles: 60.00 60.00 60.00
Closest atoms and distances in Å follow each position.
Sites, in units of the cell vectors:
1 Rb 0.2500 0.2500 0.2500  12 Br 3.76
2 Rb 0.7500 0.7500 0.7500  12 Br 3.76
3 Cu 0.0000 0.0000 0.0000  6 Br 2.69
4 Mo 0.5000 0.5000 0.5000  6 Br 2.64
5 Br 0.2523 0.2523 0.7477  1 Mo 2.64, 1 Cu 2.69
6 Br 0.2523 0.7477 0.2523  1 Mo 2.64, 1 Cu 2.69
7 Br 0.2523 0.7477 0.7477  1 Mo 2.64, 1 Cu 2.69
8 Br 0.7477 0.2523 0.2523  1 Mo 2.64, 1 Cu 2.69
9 Br 0.7477 0.2523 0.7477  1 Mo 2.64, 1 Cu 2.69
10 Br 0.7477 0.7477 0.2523  1 Mo 2.64, 1 Cu 2.69

***

(4)
First-principles (PBE) data for a geometry-optimized BeTl2AgF6 structure, as listed in the Alexandria database.

Properties
volume: 176 Å³/cell
spin magnetization: 0.97 μB per formula unit
space group: Cm
calculated total energy: -42.67 eV for the cell shown

abc: 6.0298 6.0298 7.3009
angles: 123.60 123.60 59.00
Closest atoms and distances in Å follow each position.
Sites, in units of the cell vectors:
1 Be 0.0000 0.0000 0.0000  4 F 1.53-1.64
2 Tl 0.2094 0.2094 0.6578  3 F 2.62-2.87
3 Tl 0.7103 0.7103 0.0655  7 F 2.76-3.04
4 Ag 0.4837 0.4837 0.3095  4 F 2.07-2.22
5 F 0.1346 0.1346 0.9743  1 Be 1.54
6 F 0.1936 0.6973 0.4657  1 Ag 2.07
7 F 0.2522 0.8095 0.1576  1 Be 1.64
8 F 0.6973 0.1936 0.4657  1 Ag 2.07
9 F 0.8095 0.2522 0.1576  1 Be 1.64
10 F 0.8184 0.8184 0.7767  1 Be 1.53

***

(5)
First-principles (PBE) data for a geometry-optimized Nd6Dy5Cd structure, as listed in the Alexandria database.

Properties
volume: 388 Å³/cell
energy relative to the elements: -0.0136 eV/atom
spin magnetization: 0.00 μB per formula unit
space group: Immm
calculated total energy: -52.70 eV for the cell shown

abc: 9.4896 9.4896 9.4896
angles: 148.87 116.82 72.11
Closest atoms and distances in Å follow each position.
Sites, in units of the cell vectors:
1 Nd 0.0796 0.3347 0.7449  1 Cd 3.52, 7 Dy 3.52-3.59, 4 Nd 3.59-3.64
2 Nd 0.2438 0.0000 0.2438  2 Cd 3.52, 6 Dy 3.57-3.60, 4 Nd 3.59
3 Nd 0.4102 0.6653 0.7449  1 Cd 3.52, 7 Dy 3.52-3.59, 4 Nd 3.59-3.64
4 Nd 0.5898 0.3347 0.2551  1 Cd 3.52, 7 Dy 3.52-3.59, 4 Nd 3.59-3.64
5 Nd 0.7562 0.0000 0.7562  2 Cd 3.52, 6 Dy 3.57-3.60, 4 Nd 3.59
6 Nd 0.9204 0.6653 0.2551  1 Cd 3.52, 7 Dy 3.52-3.59, 4 Nd 3.59-3.64
7 Dy 0.1708 0.1708 0.0000  8 Nd 3.52-3.57, 2 Dy 3.60, 2 Cd 3.65
8 Dy 0.3365 0.8365 0.5000  4 Dy 3.57-3.60, 8 Nd 3.57-3.59
9 Dy 0.5000 0.5000 0.0000  4 Dy 3.57, 8 Nd 3.59-3.60
10 Dy 0.6635 0.1635 0.5000  4 Dy 3.57-3.60, 8 Nd 3.57-3.59
11 Dy 0.8292 0.8292 0.0000  8 Nd 3.52-3.57, 2 Dy 3.60, 2 Cd 3.65
12 Cd 0.0000 0.5000 0.5000  8 Nd 3.52, 4 Dy 3.65

***

(6)
First-principles (PBE) data for a geometry-optimized BaLi2Hg structure, as listed in the Alexandria database.

Properties
volume: 113 Å³/cell
energy relative to the elements: -0.1193 eV/atom
spin magnetization: 0.00 μB per formula unit
space group: I4/mmm
calculated total energy: -6.53 eV for the cell shown

abc: 5.6878 5.6878 5.6878
angles: 127.41 127.41 77.59
Closest atoms and distances in Å follow each position.
Sites, in units of the cell vectors:
1 Ba 0.0000 0.0000 0.0000  8 Li 3.36, 4 Hg 3.56
2 Li 0.2500 0.7500 0.5000  4 Ba 3.36, 4 Hg 3.36, 4 Li 3.56
3 Li 0.7500 0.2500 0.5000  4 Ba 3.36, 4 Hg 3.36, 4 Li 3.56
4 Hg 0.5000 0.5000 0.0000  8 Li 3.36, 4 Ba 3.56

***

Q: What is the spin magnetization in the fifth record?
A: 0.00 μB per formula unit

***

Q: The lowest calculated total energy belongs to which entry?
A: Nd6Dy5Cd